Material: CoB2I
Method: DFT, PBE
State: optimized geometry

Summary:
SG: I4_1/amd, No. 141
raw formation energy: 3.19 eV per formula unit
magnetization: 0.00 μB per formula unit
VASP energy: -37.6 eV for the cell shown

Lattice parameters (Å, degrees): 3.9059 3.9059 7.5096 74.93 74.93 90.00
Element x y z (fractional)
Co  0.2500  0.7500  0.5000
Co  0.5000  0.5000  0.0000
I  0.7500  0.2500  0.5000
I  0.0000  0.0000  0.0000
B  0.3752  0.1250  0.2500
B  0.3748  0.6250  0.2500
B  0.8750  0.6252  0.7500
B  0.3750  0.6248  0.7500

***

Material: TbTm4Sc8
Method: DFT, PBE
State: optimized geometry

Summary:
SG: R-3m, No. 166
magnetization: 1.07 μB per formula unit
E_form: 745 kJ/mol of formula units
VASP energy: -65.4 eV for the cell shown

Lattice parameters (Å, degrees): 7.3381 7.3381 7.3381 90.07 90.07 90.07
Each line ends with the local moment (μB).
Element x y z (fractional)
Sc  0.2398  0.7592  0.2398  0.05
Sc  0.7592  0.2398  0.2398  0.05
Sc  0.2401  0.2401  0.2401  0.05
Sc  0.2408  0.7602  0.7602  0.05
Sc  0.7602  0.7602  0.2408  0.05
Sc  0.2398  0.2398  0.7592  0.05
Sc  0.7602  0.2408  0.7602  0.05
Sc  0.7599  0.7599  0.7599  0.05
Tm  0.0000  0.5000  0.5000  0.10
Tm  0.0000  0.0000  0.0000  -0.04
Tm  0.5000  0.5000  0.0000  0.10
Tm  0.5000  0.0000  0.5000  0.10
Tb  0.5000  0.5000  0.5000  0.07

***

Material: K30Ga9As19
Method: DFT, PBE
State: optimized geometry

Summary:
SG: R-3, No. 148
magnetization: 0.16 μB per formula unit
E_form: -2764 kJ/mol of formula units
VASP energy: -354.3 eV for the cell shown

Lattice parameters (Å, degrees): 15.8037 17.6943 17.6948 111.53 107.32 107.32
Each line ends with the local moment (μB).
Element x y z (fractional)
K  0.9111  0.5465  0.9353  0.00
K  0.3020  0.6112  0.5465  0.00
K  0.4141  0.8847  0.6071  0.00
K  0.2445  0.5499  0.9356  0.00
K  0.8036  0.2755  0.8831  0.00
K  0.3647  0.3888  0.4535  0.00
K  0.0261  0.0109  0.8166  0.00
K  0.3089  0.0644  0.6143  0.00
K  0.4222  0.4501  0.0644  0.00
K  0.6946  0.3857  0.4501  0.00
K  0.6378  0.6135  0.5505  0.00
K  0.9759  0.0647  0.6112  0.00
K  0.9665  0.9921  0.1798  0.00
K  0.9744  0.1877  0.0079  0.00
K  0.2492  0.6659  0.3317  0.00
K  0.1373  0.2776  0.8847  0.00
K  0.3522  0.0090  0.8206  0.00
K  0.1929  0.6076  0.7230  0.00
K  0.8630  0.7245  0.1169  0.00
K  0.6515  0.1942  0.0109  0.00
K  0.9205  0.1169  0.3924  0.00
K  0.5294  0.7224  0.1153  0.00
K  0.5853  0.1154  0.3925  0.00
K  0.4699  0.2771  0.8846  0.00
K  0.9721  0.6143  0.5499  0.00
K  0.1350  0.8206  0.8116  0.00
K  0.3577  0.9356  0.3857  0.00
K  0.8070  0.3928  0.2776  0.00
K  0.2526  0.1153  0.3929  0.00
K  0.7002  0.0079  0.8202  0.00
K  0.3235  0.1884  0.0090  0.00
K  0.4738  0.3925  0.2770  0.00
K  0.1385  0.3924  0.2755  0.00
K  0.5793  0.5505  0.9370  0.00
K  0.6908  0.9353  0.3888  0.00
K  0.8800  0.1798  0.1877  0.00
K  0.7867  0.8202  0.8123  0.00
K  0.0874  0.4495  0.0630  0.00
K  0.2094  0.1834  0.1943  0.00
K  0.6923  0.8123  0.9921  0.00
K  0.9174  0.6683  0.3342  0.00
K  0.0243  0.9370  0.3865  0.00
K  0.0833  0.3341  0.6659  0.00
K  0.3145  0.9910  0.1794  0.00
K  0.7555  0.4535  0.0647  0.00
K  0.7461  0.8831  0.6076  0.00
K  0.4572  0.8166  0.8057  0.00
K  0.0288  0.3865  0.4495  0.00
K  0.6406  0.9891  0.1834  0.00
K  0.5281  0.6076  0.7245  0.00
K  0.1968  0.7229  0.1154  0.00
K  0.6423  0.0630  0.6135  0.00
K  0.3432  0.8116  0.9910  0.00
K  0.0152  0.8057  0.9891  0.00
K  0.8597  0.6072  0.7224  0.00
K  0.4175  0.3341  0.6683  0.00
K  0.0814  0.8846  0.6075  0.00
K  0.7492  0.3317  0.6659  0.00
K  0.5316  0.1794  0.1884  0.00
K  0.5833  0.6659  0.3341  0.00
As  0.1769  0.8366  0.4442  0.00
As  0.3333  0.0000  0.0000  0.06
As  0.5093  0.8338  0.4453  0.00
As  0.5570  0.7722  0.6554  0.00
As  0.0930  0.6546  0.8803  0.00
As  0.2694  0.4479  0.6114  0.00
As  0.4898  0.1634  0.5558  0.00
As  0.9911  0.3884  0.8338  0.00
As  0.1574  0.1662  0.5547  0.00
As  0.7326  0.5557  0.3923  0.00
As  0.9340  0.4443  0.6077  0.00
As  0.5737  0.3454  0.1197  0.00
As  0.2126  0.1197  0.7743  0.00
As  0.3973  0.5521  0.3886  0.00
As  0.8960  0.7768  0.6606  0.00
As  0.7707  0.2232  0.3394  0.00
As  0.2283  0.7743  0.6546  0.00
As  0.5475  0.1162  0.7769  0.00
As  0.3403  0.6077  0.1634  0.00
As  0.6027  0.4453  0.6116  0.00
As  0.3263  0.3923  0.8366  0.00
As  0.6756  0.6116  0.1662  0.00
As  0.4313  0.6607  0.8838  0.00
As  0.9016  0.3445  0.1168  0.00
As  0.8214  0.1635  0.5521  0.00
As  0.8333  0.0000  0.0000  0.06
As  0.0640  0.5547  0.3884  0.00
As  0.8452  0.8365  0.4479  0.00
As  0.6579  0.3886  0.8365  0.00
As  0.0088  0.6114  0.1635  0.00
As  0.2353  0.3393  0.1162  0.00
As  0.4383  0.2257  0.3454  0.00
As  0.1191  0.8838  0.2231  0.00
As  0.7651  0.6555  0.8832  0.00
As  0.7848  0.8832  0.2277  0.00
As  0.4540  0.8803  0.2257  0.00
As  0.1096  0.2278  0.3446  0.00
As  0.8819  0.1168  0.7723  0.00
Ga  0.3416  0.4991  0.7762  0.00
Ga  0.1012  0.7762  0.2770  0.00
Ga  0.1799  0.2809  0.5051  0.00
Ga  0.9919  0.5051  0.2242  0.00
Ga  0.0044  0.4940  0.7725  0.00
Ga  0.7676  0.7758  0.2809  0.00
Ga  0.1563  0.7215  0.4940  0.00
Ga  0.4348  0.7725  0.2785  0.00
Ga  0.5655  0.2238  0.7230  0.00
Ga  0.2319  0.2275  0.7215  0.00
Ga  0.4867  0.7191  0.4949  0.00
Ga  0.6623  0.5060  0.2275  0.00
Ga  0.8425  0.2770  0.5009  0.00
Ga  0.3250  0.5009  0.2238  0.00
Ga  0.6748  0.4949  0.7758  0.00
Ga  0.5104  0.2785  0.5060  0.00
Ga  0.8242  0.7230  0.4991  0.00
Ga  0.8990  0.2242  0.7191  0.00

***

Material: CrCdPt2
Method: DFT, PBE
State: optimized geometry

Summary:
SG: P4/mmm, No. 123
magnetization: 3.90 μB per formula unit
E_form: -71 kJ/mol of formula units
VASP energy: -23.4 eV for the cell shown

Lattice parameters (Å, degrees): 4.1231 4.1206 3.8405 90.00 90.00 90.00
Each line ends with the local moment (μB).
Element x y z (fractional)
Cd  0.5000  0.0000  0.5000  0.01
Pt  0.5000  0.5000  0.0000  0.10
Pt  0.0000  0.0000  0.0000  0.10
Cr  0.0000  0.5000  0.5000  3.37